# 1
# CaTi2In2, relaxed, DFT PBE-GGA
# E above lowest polymorph = 0.46 eV per formula unit
# calculated formation energy = -0.006 eV per atom
# magnetic moment = 5.99 μB per cell
data_CaTi2In2
_chemical_formula_sum 'Ca2 Ti4 In4'
_space_group_name_H-M_alt 'I 4/m m m'
_space_group_IT_number 139
_space_group_name_Hall '-I 4 2'
_cell_length_a 4.1664
_cell_length_b 4.1664
_cell_length_c 13.8247
_cell_angle_alpha 90.00
_cell_angle_beta 90.00
_cell_angle_gamma 90.00
loop_
_atom_site_label
_atom_site_type_symbol
_atom_site_fract_x
_atom_site_fract_y
_atom_site_fract_z
_atom_site_occupancy
Ca1 Ca 0.0000 0.0000 0.0000 1
Ti1 Ti 0.0000 0.5000 0.2500 1
In1 In 0.0000 0.0000 0.3951 1

# 2
# NaTlInAg, relaxed, DFT PBE-GGA
# calculated formation energy = -0.031 eV per atom
# magnetic moment = 0.00 μB per cell
data_NaTlInAg
_chemical_formula_sum 'Na4 Tl4 In4 Ag4'
_space_group_name_H-M_alt 'F -4 3 m'
_space_group_IT_number 216
_space_group_name_Hall 'F -4 2 3'
_cell_length_a 7.2932
_cell_length_b 7.2932
_cell_length_c 7.2932
_cell_angle_alpha 90.00
_cell_angle_beta 90.00
_cell_angle_gamma 90.00
loop_
_atom_site_label
_atom_site_type_symbol
_atom_site_fract_x
_atom_site_fract_y
_atom_site_fract_z
_atom_site_occupancy
Na1 Na 0.0000 0.0000 0.0000 1
Tl1 Tl 0.2500 0.2500 0.2500 1
In1 In 0.0000 0.0000 0.5000 1
Ag1 Ag 0.2500 0.2500 0.7500 1

# 3
# Rb2NbAlI6, relaxed, DFT PBE-GGA
# calculated total energy = -3.217 eV per atom
# magnetic moment = 8.00 μB per cell
data_Rb2NbAlI6
_chemical_formula_sum 'Rb8 Nb4 Al4 I24'
_space_group_name_H-M_alt 'F m -3 m'
_space_group_IT_number 225
_space_group_name_Hall '-F 4 2 3'
_cell_length_a 11.9803
_cell_length_b 11.9803
_cell_length_c 11.9803
_cell_angle_alpha 90.00
_cell_angle_beta 90.00
_cell_angle_gamma 90.00
loop_
_atom_site_label
_atom_site_type_symbol
_atom_site_fract_x
_atom_site_fract_y
_atom_site_fract_z
_atom_site_occupancy
Rb1 Rb 0.2500 0.2500 0.2500 1
Nb1 Nb 0.0000 0.0000 0.0000 1
Al1 Al 0.0000 0.0000 0.5000 1
I1 I 0.0000 0.0000 0.2400 1

# 4
# Y3Mg2Zn2, relaxed, DFT PBE-GGA
# calculated formation energy = -0.202 eV per atom
# magnetic moment = 0.00 μB per cell
data_Y3Mg2Zn2
_chemical_formula_sum 'Y6 Mg4 Zn4'
_space_group_name_H-M_alt 'C 1 2/m 1'
_space_group_IT_number 12
_space_group_name_Hall '-C 2y'
_cell_length_a 10.5471
_cell_length_b 4.9681
_cell_length_c 6.4902
_cell_angle_alpha 90.00
_cell_angle_beta 94.64
_cell_angle_gamma 90.00
loop_
_atom_site_label
_atom_site_type_symbol
_atom_site_fract_x
_atom_site_fract_y
_atom_site_fract_z
_atom_site_occupancy
Y1 Y 0.0000 0.0000 0.0000 1
Y2 Y 0.1262 0.5000 0.6860 1
Mg1 Mg 0.1872 0.5000 0.1976 1
Zn1 Zn 0.1088 0.0000 0.4362 1

# 5
# AlCoAu2, relaxed, DFT PBE-GGA
# calculated formation energy = -0.074 eV per atom
# magnetic moment = 1.23 μB per cell
data_AlCoAu2
_chemical_formula_sum 'Al1 Co1 Au2'
_space_group_name_H-M_alt 'P 1 m 1'
_space_group_IT_number 6
_space_group_name_Hall 'P -2y'
_cell_length_a 2.9594
_cell_length_b 4.1041
_cell_length_c 5.2740
_cell_angle_alpha 90.00
_cell_angle_beta 105.98
_cell_angle_gamma 90.00
loop_
_atom_site_label
_atom_site_type_symbol
_atom_site_fract_x
_atom_site_fract_y
_atom_site_fract_z
_atom_site_occupancy
Al1 Al 0.0000 0.0000 0.0000 1
Co1 Co 0.8731 0.5000 0.7427 1
Au1 Au 0.2709 0.0000 0.5375 1
Au2 Au 0.6004 0.5000 0.2054 1

# 6
# Li4TeBr, relaxed, DFT PBE-GGA
# calculated total energy = -2.495 eV per atom
# magnetic moment = 3.97 μB per cell
data_Li4TeBr
_chemical_formula_sum 'Li16 Te4 Br4'
_space_group_name_H-M_alt 'F -4 3 m'
_space_group_IT_number 216
_space_group_name_Hall 'F -4 2 3'
_cell_length_a 7.9370
_cell_length_b 7.9370
_cell_length_c 7.9370
_cell_angle_alpha 90.00
_cell_angle_beta 90.00
_cell_angle_gamma 90.00
loop_
_atom_site_label
_atom_site_type_symbol
_atom_site_fract_x
_atom_site_fract_y
_atom_site_fract_z
_atom_site_occupancy
Li1 Li 0.1243 0.1243 0.3757 1
Te1 Te 0.0000 0.0000 0.0000 1
Br1 Br 0.2500 0.2500 0.7500 1

# 7
# CuOsRu2, relaxed, DFT PBE-GGA
# calculated formation energy = 0.245 eV per atom
# magnetic moment = 0.00 μB per cell
data_CuOsRu2
_chemical_formula_sum 'Cu1 Os1 Ru2'
_space_group_name_H-M_alt 'P 1 m 1'
_space_group_IT_number 6
_space_group_name_Hall 'P -2y'
_cell_length_a 2.7116
_cell_length_b 3.8253
_cell_length_c 5.2675
_cell_angle_alpha 90.00
_cell_angle_beta 90.03
_cell_angle_gamma 90.00
loop_
_atom_site_label
_atom_site_type_symbol
_atom_site_fract_x
_atom_site_fract_y
_atom_site_fract_z
_atom_site_occupancy
Cu1 Cu 0.0000 0.0000 0.0000 1
Os1 Os 0.5022 0.5000 0.7522 1
Ru1 Ru 0.0003 0.0000 0.5050 1
Ru2 Ru 0.4980 0.5000 0.2359 1

# 8
# Sm4HgN, relaxed, DFT PBE-GGA
# calculated total energy = -4.644 eV per atom
# magnetic moment = 0.00 μB per cell
data_Sm4HgN
_chemical_formula_sum 'Sm4 Hg1 N1'
_space_group_name_H-M_alt 'P 4/m m m'
_space_group_IT_number 123
_space_group_name_Hall '-P 4 2'
_cell_length_a 4.6420
_cell_length_b 4.6420
_cell_length_c 7.1893
_cell_angle_alpha 90.00
_cell_angle_beta 90.00
_cell_angle_gamma 90.00
loop_
_atom_site_label
_atom_site_type_symbol
_atom_site_fract_x
_atom_site_fract_y
_atom_site_fract_z
_atom_site_occupancy
Sm1 Sm 0.0000 0.5000 0.2122 1
Hg1 Hg 0.0000 0.0000 0.5000 1
N1 N 0.5000 0.5000 0.0000 1

# 9
# K2ZrAg, relaxed, DFT PBE-GGA
# E above lowest polymorph = 0.95 eV per formula unit
# calculated formation energy = 0.632 eV per atom
# magnetic moment = 2.97 μB per cell
data_K2ZrAg
_chemical_formula_sum 'K6 Zr3 Ag3'
_space_group_name_H-M_alt 'R -3 m'
_space_group_IT_number 166
_space_group_name_Hall '-R 3 2"'
_cell_length_a 3.3680
_cell_length_b 3.3680
_cell_length_c 37.0241
_cell_angle_alpha 90.00
_cell_angle_beta 90.00
_cell_angle_gamma 120.00
loop_
_atom_site_label
_atom_site_type_symbol
_atom_site_fract_x
_atom_site_fract_y
_atom_site_fract_z
_atom_site_occupancy
K1 K 0.0000 0.0000 0.2424 1
Zr1 Zr 0.0000 0.0000 0.0000 1
Ag1 Ag 0.0000 0.0000 0.5000 1

# 10
# Mg5Pd, relaxed, DFT PBE-GGA
# calculated formation energy = -0.234 eV per atom
# magnetic moment = 0.00 μB per cell
data_Mg5Pd
_chemical_formula_sum 'Mg10 Pd2'
_space_group_name_H-M_alt 'P m m a'
_space_group_IT_number 51
_space_group_name_Hall '-P 2a 2a'
_cell_length_a 9.1061
_cell_length_b 3.7895
_cell_length_c 7.5320
_cell_angle_alpha 90.00
_cell_angle_beta 90.00
_cell_angle_gamma 90.00
loop_
_atom_site_label
_atom_site_type_symbol
_atom_site_fract_x
_atom_site_fract_y
_atom_site_fract_z
_atom_site_occupancy
Mg1 Mg 0.0000 0.0000 0.0000 1
Mg2 Mg 0.0613 0.5000 0.3142 1
Mg3 Mg 0.2500 0.0000 0.5783 1
Mg4 Mg 0.2500 0.5000 0.9259 1
Pd1 Pd 0.2500 0.0000 0.1976 1

# 11
# RbEr2P2N6, relaxed, DFT PBE-GGA
# calculated total energy = -7.190 eV per atom
# magnetic moment = 0.75 μB per cell
data_RbEr2P2N6
_chemical_formula_sum 'Rb2 Er4 P4 N12'
_space_group_name_H-M_alt 'C 1 2/m 1'
_space_group_IT_number 12
_space_group_name_Hall '-C 2y'
_cell_length_a 11.3189
_cell_length_b 6.2193
_cell_length_c 6.3250
_cell_angle_alpha 90.00
_cell_angle_beta 120.64
_cell_angle_gamma 90.00
loop_
_atom_site_label
_atom_site_type_symbol
_atom_site_fract_x
_atom_site_fract_y
_atom_site_fract_z
_atom_site_occupancy
Rb1 Rb 0.0000 0.0000 0.0000 1
Er1 Er 0.1764 0.5000 0.3027 1
P1 P 0.1527 0.5000 0.7427 1
N1 N 0.0643 0.5000 0.8694 1
N2 N 0.1978 0.2894 0.6626 1

# 12
# Ce5Te2C2, relaxed, DFT PBE-GGA
# calculated total energy = -6.609 eV per atom
# magnetic moment = 15.84 μB per cell
data_Ce5Te2C2
_chemical_formula_sum 'Ce20 Te8 C8'
_space_group_name_H-M_alt 'I m a 2'
_space_group_IT_number 46
_space_group_name_Hall 'I 2 -2a'
_cell_length_a 18.2962
_cell_length_b 7.9353
_cell_length_c 6.5206
_cell_angle_alpha 90.00
_cell_angle_beta 90.00
_cell_angle_gamma 90.00
loop_
_atom_site_label
_atom_site_type_symbol
_atom_site_fract_x
_atom_site_fract_y
_atom_site_fract_z
_atom_site_occupancy
Ce1 Ce 0.0217 0.2491 0.0000 1
Ce2 Ce 0.1374 0.5561 0.2503 1
Ce3 Ce 0.2500 0.1523 0.3143 1
Te1 Te 0.1073 0.5508 0.7500 1
C1 C 0.0000 0.0000 0.7455 1
C2 C 0.2500 0.0752 0.6671 1